1.
A plane-wave DFT calculation with GGA-PBEsol was carried out for crystalline MgFe4Cu3O12 at its relaxed geometry.

Calculated values
**Formation energy without anion corrections**: -1.169 eV/atom
**E**: -137.0 eV for the cell shown

a = 6.0980 Å, b = 6.0980 Å, c = 6.0980 Å
α = 109.47°, β = 109.47°, γ = 109.47°
Last column: nearest neighbours and their distance in Å.
Atoms (fractional coordinates):
O 0.6985 0.1769 0.8755  2 Fe 1.87, 1 Cu 1.87
O 0.8231 0.1245 0.3015  2 Fe 1.87, 1 Cu 1.87
Fe 0.0000 0.0000 0.5000  6 O 1.87
O 0.6985 0.8231 0.5216  2 Fe 1.87, 1 Cu 1.87
Cu 0.5000 0.0000 0.5000  4 O 1.87
O 0.1769 0.4784 0.3015  2 Fe 1.87, 1 Cu 1.87
Mg 0.0000 0.0000 0.0000  12 O 2.46
O 0.8755 0.6985 0.1769  2 Fe 1.87, 1 Cu 1.87
O 0.3015 0.1769 0.4784  2 Fe 1.87, 1 Cu 1.87
O 0.4784 0.3015 0.1769  2 Fe 1.87, 1 Cu 1.87
O 0.8231 0.5216 0.6985  2 Fe 1.87, 1 Cu 1.87
Fe 0.5000 0.5000 0.5000  6 O 1.87
O 0.5216 0.6985 0.8231  2 Fe 1.87, 1 Cu 1.87
Cu 0.5000 0.5000 0.0000  4 O 1.87
Cu 0.0000 0.5000 0.5000  4 O 1.87
O 0.3015 0.8231 0.1245  2 Fe 1.87, 1 Cu 1.87
Fe 0.0000 0.5000 0.0000  6 O 1.87
Fe 0.5000 0.0000 0.0000  6 O 1.87
O 0.1245 0.3015 0.8231  2 Fe 1.87, 1 Cu 1.87
O 0.1769 0.8755 0.6985  2 Fe 1.87, 1 Cu 1.87

***

2.
A plane-wave DFT calculation with GGA-PBEsol was carried out for crystalline FeCuMo2 at its relaxed geometry.

Calculated values
**Formation enthalpy at 0 K**: 225 meV/atom
**Distance to the lowest polymorph of the same formula**: 0.00 eV/f.u.
**E**: -35.9 eV for the cell shown

a = 3.7387 Å, b = 3.7387 Å, c = 4.5691 Å
α = 114.15°, β = 114.15°, γ = 90.00°
Last column: nearest neighbours and their distance in Å.
Atoms (fractional coordinates):
Fe 0.0000 0.0000 0.0000  8 Mo 2.64, 4 Cu 2.64
Mo 0.7500 0.2500 0.5000  4 Cu 2.64, 4 Fe 2.64, 4 Mo 2.64
Cu 0.5000 0.5000 0.0000  8 Mo 2.64, 4 Fe 2.64
Mo 0.2500 0.7500 0.5000  4 Cu 2.64, 4 Fe 2.64, 4 Mo 2.64

***

Please write out number 1 again, unchanged.
A plane-wave DFT calculation with GGA-PBEsol was carried out for crystalline MgFe4Cu3O12 at its relaxed geometry.

Calculated values
**Formation energy without anion corrections**: -1.169 eV/atom
**E**: -137.0 eV for the cell shown

a = 6.0980 Å, b = 6.0980 Å, c = 6.0980 Å
α = 109.47°, β = 109.47°, γ = 109.47°
Last column: nearest neighbours and their distance in Å.
Atoms (fractional coordinates):
O 0.6985 0.1769 0.8755  2 Fe 1.87, 1 Cu 1.87
O 0.8231 0.1245 0.3015  2 Fe 1.87, 1 Cu 1.87
Fe 0.0000 0.0000 0.5000  6 O 1.87
O 0.6985 0.8231 0.5216  2 Fe 1.87, 1 Cu 1.87
Cu 0.5000 0.0000 0.5000  4 O 1.87
O 0.1769 0.4784 0.3015  2 Fe 1.87, 1 Cu 1.87
Mg 0.0000 0.0000 0.0000  12 O 2.46
O 0.8755 0.6985 0.1769  2 Fe 1.87, 1 Cu 1.87
O 0.3015 0.1769 0.4784  2 Fe 1.87, 1 Cu 1.87
O 0.4784 0.3015 0.1769  2 Fe 1.87, 1 Cu 1.87
O 0.8231 0.5216 0.6985  2 Fe 1.87, 1 Cu 1.87
Fe 0.5000 0.5000 0.5000  6 O 1.87
O 0.5216 0.6985 0.8231  2 Fe 1.87, 1 Cu 1.87
Cu 0.5000 0.5000 0.0000  4 O 1.87
Cu 0.0000 0.5000 0.5000  4 O 1.87
O 0.3015 0.8231 0.1245  2 Fe 1.87, 1 Cu 1.87
Fe 0.0000 0.5000 0.0000  6 O 1.87
Fe 0.5000 0.0000 0.0000  6 O 1.87
O 0.1245 0.3015 0.8231  2 Fe 1.87, 1 Cu 1.87
O 0.1769 0.8755 0.6985  2 Fe 1.87, 1 Cu 1.87

***

Please write out number 2 again, unchanged.
A plane-wave DFT calculation with GGA-PBEsol was carried out for crystalline FeCuMo2 at its relaxed geometry.

Calculated values
**Formation enthalpy at 0 K**: 225 meV/atom
**Distance to the lowest polymorph of the same formula**: 0.00 eV/f.u.
**E**: -35.9 eV for the cell shown

a = 3.7387 Å, b = 3.7387 Å, c = 4.5691 Å
α = 114.15°, β = 114.15°, γ = 90.00°
Last column: nearest neighbours and their distance in Å.
Atoms (fractional coordinates):
Fe 0.0000 0.0000 0.0000  8 Mo 2.64, 4 Cu 2.64
Mo 0.7500 0.2500 0.5000  4 Cu 2.64, 4 Fe 2.64, 4 Mo 2.64
Cu 0.5000 0.5000 0.0000  8 Mo 2.64, 4 Fe 2.64
Mo 0.2500 0.7500 0.5000  4 Cu 2.64, 4 Fe 2.64, 4 Mo 2.64